No. 1
First-principles (GGA-PBE) data for an optimized crystal structure of Ni5Au3, as listed in Alexandria via LeMat-Bulk. Values from VASP.

Quantum ESPRESSO input file:
```
&SYSTEM
  ibrav = 0, nat = 16, ntyp = 2
/
ATOMIC_SPECIES
Ni 58.69 Ni.upf
Au 196.97 Au.upf
CELL_PARAMETERS angstrom
7.622 0.000 0.000
-3.811 6.601 0.000
0.000 0.000 4.574
ATOMIC_POSITIONS angstrom
Ni -0.719 1.245 1.144
Ni -3.093 5.357 3.431
Ni 1.437 0.000 1.144
Ni 0.719 1.245 3.431
Ni 0.000 4.401 0.000
Ni 0.000 4.401 2.287
Ni 3.811 2.200 0.000
Ni 3.811 2.200 2.287
Ni 6.185 0.000 3.431
Ni 3.093 5.357 1.144
Au -1.491 2.582 3.431
Au -2.320 4.019 1.144
Au 2.982 0.000 3.431
Au 1.491 2.582 1.144
Au 4.641 0.000 1.144
Au 2.320 4.019 3.431
```

Properties
ΔH_f (0 K): 0.280 eV/atom
Symmetry: P6_3/mcm
Density of states at the Fermi level: 32.70 states/eV/cell


No. 2
First-principles (GGA-PBE) data for an optimized crystal structure of NiAu, as listed in Alexandria via LeMat-Bulk. Values from VASP.

Quantum ESPRESSO input file:
```
&SYSTEM
  ibrav = 0, nat = 12, ntyp = 2
/
ATOMIC_SPECIES
Ni 58.69 Ni.upf
Au 196.97 Au.upf
CELL_PARAMETERS angstrom
9.350 0.000 0.000
0.000 2.861 0.000
-2.602 0.000 6.536
ATOMIC_POSITIONS angstrom
Ni 0.000 0.000 0.000
Ni -1.032 0.000 3.178
Ni 3.050 0.000 1.204
Ni 4.675 1.431 0.000
Ni 3.643 1.431 3.178
Ni 7.725 1.431 1.204
Au 0.940 1.431 1.986
Au -0.490 1.431 5.609
Au 1.663 0.000 4.317
Au 5.615 0.000 1.986
Au 4.185 0.000 5.609
Au 6.337 1.431 4.317
```

Properties
ΔH_f (0 K): 0.122 eV/atom
Symmetry: Cm
Density of states at the Fermi level: 18.60 states/eV/cell


No. 3
First-principles (GGA-PBE) data for an optimized crystal structure of Ni2Au, as listed in Alexandria via LeMat-Bulk. Values from VASP.

Quantum ESPRESSO input file:
```
&SYSTEM
  ibrav = 0, nat = 6, ntyp = 2
/
ATOMIC_SPECIES
Ni 58.69 Ni.upf
Au 196.97 Au.upf
CELL_PARAMETERS angstrom
2.773 0.000 0.000
0.000 2.773 0.000
0.000 0.000 10.421
ATOMIC_POSITIONS angstrom
Ni 0.000 0.000 1.888
Ni 0.000 0.000 8.533
Ni 1.387 1.387 3.322
Ni 1.387 1.387 7.098
Au 0.000 0.000 5.210
Au 1.387 1.387 0.000
```

Properties
ΔH_f (0 K): 0.120 eV/atom
Symmetry: I4/mmm
Density of states at the Fermi level: 9.99 states/eV/cell


No. 4
First-principles (GGA-PBE) data for an optimized crystal structure of NiAu, as listed in Alexandria via LeMat-Bulk. Values from VASP.

Quantum ESPRESSO input file:
```
&SYSTEM
  ibrav = 0, nat = 8, ntyp = 2
/
ATOMIC_SPECIES
Ni 58.69 Ni.upf
Au 196.97 Au.upf
CELL_PARAMETERS angstrom
4.141 0.000 0.000
-2.070 3.586 0.000
0.000 0.000 8.314
ATOMIC_POSITIONS angstrom
Ni 0.000 0.000 2.079
Ni 0.000 0.000 6.236
Ni 0.000 2.391 2.079
Ni 2.070 1.195 6.236
Au 0.000 2.391 4.860
Au 0.000 2.391 7.611
Au 2.070 1.195 0.703
Au 2.070 1.195 3.454
```

Properties
ΔH_f (0 K): 0.210 eV/atom
Symmetry: P6_3/mmc
Density of states at the Fermi level: 17.04 states/eV/cell


No. 5
First-principles (GGA-PBE) data for an optimized crystal structure of Ni2Au, as listed in Alexandria via LeMat-Bulk. Values from VASP.

Quantum ESPRESSO input file:
```
&SYSTEM
  ibrav = 0, nat = 3, ntyp = 2
/
ATOMIC_SPECIES
Ni 58.69 Ni.upf
Au 196.97 Au.upf
CELL_PARAMETERS angstrom
4.172 0.000 0.000
-2.086 3.613 0.000
0.000 0.000 2.684
ATOMIC_POSITIONS angstrom
Ni 0.000 2.408 1.319
Ni 2.086 1.204 1.365
Au 0.000 0.000 0.000
```

Properties
ΔH_f (0 K): 0.169 eV/atom
Symmetry: P-3m1
Density of states at the Fermi level: 5.54 states/eV/cell


No. 6
First-principles (GGA-PBE) data for an optimized crystal structure of Ni4Au, as listed in Alexandria via LeMat-Bulk. Values from VASP.

Quantum ESPRESSO input file:
```
&SYSTEM
  ibrav = 0, nat = 5, ntyp = 2
/
ATOMIC_SPECIES
Ni 58.69 Ni.upf
Au 196.97 Au.upf
CELL_PARAMETERS angstrom
4.631 0.000 0.000
0.000 4.631 0.000
0.000 0.000 4.631
ATOMIC_POSITIONS angstrom
Ni 0.000 0.000 0.000
Ni 0.000 2.315 2.315
Ni 2.315 0.000 2.315
Ni 2.315 2.315 0.000
Au 2.315 2.315 2.315
```

Properties
ΔH_f (0 K): 1.609 eV/atom
Symmetry: Pm-3m
Energy above the lowest structure with this stoichiometry: 146.50 kJ per mole of atoms
Density of states at the Fermi level: 20.00 states/eV/cell